Density functional theory data (GGA-PBE) for a geometry-optimized Be2TlPb structure.

Output
E above lowest polymorph: 0.2 kJ per mole of atoms
ΔE_f: 515 meV per atom
raw total energy: -11.47 eV per cell
symmetry: P4mm, No. 99

Unit cell a=3.1317 b=3.1317 c=8.4167 alpha=90.00 beta=90.00 gamma=90.00
Atoms (fractional coordinates):
Be  0.0000  0.0000  0.0000
Be  0.5000  0.5000  0.0793
Tl  0.5000  0.5000  0.7398
Pb  0.0000  0.0000  0.3309

---

Density functional theory data (GGA-PBE) for a geometry-optimized NdY2Er8 structure.

Output
E above lowest polymorph: 2.7 kJ per mole of atoms
ΔE_f: 182 meV per atom
raw total energy: -52.20 eV per cell
symmetry: C2/m, No. 12

Unit cell a=8.8837 b=8.8837 c=6.6145 alpha=99.83 beta=99.83 gamma=43.61
Atoms (fractional coordinates):
Nd  0.0000  0.0000  0.0000
Y  0.2418  0.2418  0.3043
Y  0.7582  0.7582  0.6957
Er  0.1754  0.6471  0.5885
Er  0.2058  0.2058  0.7959
Er  0.3529  0.8246  0.4115
Er  0.4112  0.4112  0.0938
Er  0.5888  0.5888  0.9062
Er  0.6471  0.1754  0.5885
Er  0.7942  0.7942  0.2041
Er  0.8246  0.3529  0.4115

---

Density functional theory data (GGA-PBE) for a geometry-optimized LiWS2 structure.

Output
raw total energy: -22.89 eV per cell
symmetry: R-3m, No. 166
raw formation energy: 0.06 eV/atom

Unit cell a=8.2048 b=8.2048 c=8.2048 alpha=21.83 beta=21.83 gamma=21.83
Atoms (fractional coordinates):
Li  0.0000  0.0000  0.0000
W  0.5000  0.5000  0.5000
S  0.4058  0.4058  0.4058
S  0.5942  0.5942  0.5942

---

Density functional theory data (GGA-PBE) for a geometry-optimized YHoInRu structure.

Output
E above lowest polymorph: 11.7 kJ per mole of atoms
ΔE_f: -345 meV per atom
raw total energy: -24.44 eV per cell
symmetry: F-43m, No. 216

Unit cell a=5.0553 b=5.0553 c=5.0553 alpha=60.00 beta=60.00 gamma=60.00
Atoms (fractional coordinates):
Y  0.0000  0.0000  0.0000
Ho  0.5000  0.5000  0.5000
In  0.7500  0.7500  0.7500
Ru  0.2500  0.2500  0.2500